1.
Material: Pm2Nd3Ho6
Method: DFT, PBE
State: relaxed

Cell and atoms, written as extended XYZ:
```
11
Lattice="-5.657 -2.475 -0.152 -0.867 -5.841 1.846 -3.795 2.836 10.670" Properties=species:S:1:pos:R:3 pbc="T T T"
Pm -3.418 -2.890 6.541
Pm -6.902 -2.589 5.823
Nd 0.000 0.000 0.000
Nd -2.184 -2.749 0.555
Nd -4.339 -5.567 1.139
Ho -5.779 -2.804 9.155
Ho -7.085 0.268 7.876
Ho -3.605 -0.030 8.590
Ho -2.367 0.094 2.642
Ho -4.540 -2.675 3.208
Ho -6.714 -5.449 3.774
```

Calculated values
As for the density: 7.47 g/cm³. The volume is 380.4 Å³/f.u. As for the space group: C2/m, No. 12. Its electronic total energy is -49.2 eV for the cell shown.



2.
Material: Pm4Nd3Ho
Method: DFT, PBE
State: relaxed

Cell and atoms, written as extended XYZ:
```
16
Lattice="6.375 0.000 0.000 0.000 7.375 0.000 0.000 0.000 11.779" Properties=species:S:1:pos:R:3 pbc="T T T"
Pm 0.956 6.454 0.000
Pm 4.124 0.919 0.000
Pm 6.253 0.925 2.917
Pm 3.065 6.450 2.972
Pm 0.937 6.456 5.889
Pm 4.143 0.921 5.889
Pm 3.065 6.450 8.806
Pm 6.253 0.925 8.862
Nd 4.132 4.614 0.000
Nd 6.252 4.605 2.944
Nd 3.065 2.769 2.946
Nd 0.944 2.761 5.889
Nd 3.065 2.769 8.833
Nd 6.252 4.605 8.835
Ho 0.938 2.764 0.000
Ho 4.125 4.611 5.889
```

Calculated values
As for the density: 7.06 g/cm³. The volume is 276.9 Å³/f.u. As for the space group: Pmn2_1, No. 31. Its electronic total energy is -75.3 eV for the cell shown.



3.
Material: Pm5Nd5Ho
Method: DFT, PBE
State: relaxed

Cell and atoms, written as extended XYZ:
```
11
Lattice="6.232 0.000 0.000 -3.116 5.397 0.000 0.000 0.000 11.654" Properties=species:S:1:pos:R:3 pbc="T T T"
Pm 3.116 1.799 1.838
Pm 3.116 1.799 9.816
Pm 0.000 3.598 3.694
Pm 0.000 3.598 7.961
Pm 0.000 0.000 0.000
Nd 1.587 0.916 5.827
Nd 0.000 0.000 3.072
Nd 3.116 3.565 5.827
Nd 4.646 0.916 5.827
Nd 0.000 0.000 8.582
Ho 0.000 3.598 0.000
```

Calculated values
As for the density: 6.82 g/cm³. The volume is 392.0 Å³/f.u. As for the space group: P-6m2, No. 187. Its electronic total energy is -48.8 eV for the cell shown.



4.
Material: Pm3NdHo6
Method: DFT, PBE
State: relaxed

Cell and atoms, written as extended XYZ:
```
10
Lattice="-1.170 9.643 -1.978 -8.848 4.284 1.276 -2.393 5.507 3.422" Properties=species:S:1:pos:R:3 pbc="T T T"
Pm -5.923 9.975 2.452
Pm -6.630 9.328 -0.282
Pm -2.823 5.114 1.760
Nd -9.735 14.185 0.391
Ho -6.835 12.783 -0.018
Ho -8.945 7.703 1.729
Ho -3.400 8.149 0.189
Ho -5.537 6.825 3.108
Ho -3.411 11.730 1.397
Ho -8.813 11.377 2.879
```

Calculated values
As for the density: 7.90 g/cm³. The volume is 329.7 Å³/f.u. As for the space group: R3, No. 146. Its electronic total energy is -43.6 eV for the cell shown.



5.
Material: Pm3Nd4Ho4
Method: DFT, PBE
State: relaxed

Cell and atoms, written as extended XYZ:
```
11
Lattice="5.754 0.000 0.000 -2.877 6.052 0.000 0.000 0.000 10.768" Properties=species:S:1:pos:R:3 pbc="T T T"
Pm 0.000 4.966 3.129
Pm 0.000 4.966 7.640
Pm 0.000 3.071 0.000
Nd 2.877 3.068 8.498
Nd 2.877 3.068 2.271
Nd 2.877 4.636 5.384
Nd 2.877 5.572 0.000
Ho 2.877 1.339 5.384
Ho 2.877 0.662 0.000
Ho 0.000 1.264 7.508
Ho 0.000 1.264 3.260
```

Calculated values
As for the density: 7.40 g/cm³. The volume is 375.0 Å³/f.u. As for the space group: Amm2, No. 38. Its electronic total energy is -50.0 eV for the cell shown.



6.
Material: Pm4Nd5Ho
Method: DFT, PBE
State: relaxed

Cell and atoms, written as extended XYZ:
```
10
Lattice="3.651 0.125 -0.021 -0.376 10.127 -2.041 1.903 -0.669 9.450" Properties=species:S:1:pos:R:3 pbc="T T T"
Pm 1.820 0.783 3.562
Pm 3.556 2.982 1.254
Pm 3.359 8.799 3.827
Pm 1.623 6.600 6.134
Nd 1.630 5.844 2.548
Nd 3.367 8.108 0.217
Nd 1.813 1.475 7.171
Nd 1.638 5.126 -1.031
Nd 3.549 3.738 4.840
Ho 1.826 0.062 -0.010
```

Calculated values
As for the density: 7.06 g/cm³. The volume is 344.8 Å³/f.u. As for the space group: P-1, No. 2. Its electronic total energy is -47.3 eV for the cell shown.



7.
Material: Pm2NdHo
Method: DFT, PBE
State: relaxed

Cell and atoms, written as extended XYZ:
```
4
Lattice="4.264 0.000 0.000 0.000 4.264 0.000 0.000 0.000 7.442" Properties=species:S:1:pos:R:3 pbc="T T T"
Nd 2.132 2.132 3.721
Ho 2.132 2.132 0.000
Pm 0.000 0.000 5.632
Pm 0.000 0.000 1.810
```

Calculated values
As for the density: 7.35 g/cm³. The volume is 135.3 Å³/f.u. As for the space group: P4/mmm, No. 123. Its electronic total energy is -18.4 eV for the cell shown.



8.
Material: Pm5Nd2Ho
Method: DFT, PBE
State: relaxed

Cell and atoms, written as extended XYZ:
```
16
Lattice="5.138 0.000 0.000 0.000 7.287 0.000 0.000 0.000 14.589" Properties=species:S:1:pos:R:3 pbc="T T T"
Pm 0.000 0.000 0.000
Pm 0.000 3.643 7.295
Pm 0.000 3.644 10.956
Pm 0.000 3.642 3.633
Pm 0.000 7.286 3.662
Pm 0.000 0.001 10.927
Pm 2.569 1.824 12.776
Pm 2.569 5.463 1.813
Pm 2.569 1.819 5.481
Pm 2.569 5.467 9.108
Nd 2.569 1.819 9.108
Nd 2.569 5.467 5.481
Nd 2.569 1.824 1.813
Nd 2.569 5.462 12.776
Ho 0.000 0.000 7.295
Ho 0.000 3.643 0.000
```

Calculated values
As for the density: 7.17 g/cm³. The volume is 273.1 Å³/f.u. As for the space group: Pbam, No. 55. Its electronic total energy is -75.5 eV for the cell shown.